Record 1
DFT (PBE) results for a relaxed KSrCaEu crystal.

```
KSrCaEu
1.0
6.648 0.000 0.000
3.324 5.757 0.000
3.324 1.919 5.428
Eu Ca Sr K
1 1 1 1
direct
0.750 0.750 0.750
0.000 0.000 0.000
0.250 0.250 0.250
0.500 0.500 0.500
```

Computed properties:
Space-group type: F-43m
Density of states at the Fermi level in states/eV/atom: 3.683
E_form in meV per atom: 160

***

Record 2
DFT (PBE) results for a relaxed CaLaEu crystal.

```
CaLaEu
1.0
3.819 0.000 0.000
-1.910 3.308 0.000
0.000 0.000 9.506
La Eu Ca
1 1 1
direct
0.333 0.667 0.664
0.667 0.333 0.339
0.000 0.000 0.997
```

Computed properties:
Space-group type: P3m1
Energy above the most stable polymorph in this dataset in kJ/mol of formula units: 0
Density of states at the Fermi level in states/eV/atom: 1.385
E_form in meV per atom: 45